VASP calculation (PBE-GGA) on Tb5Pm4Y after structural relaxation.

a b c (Å): 10.668 10.668 6.002
angles (deg): 90.00 90.00 90.00
Space group I4mm (No. 107)
Asymmetric unit:
Tb (0.000, 0.000, 0.000)
Tb (0.189, 0.189, 0.741)
Pm (0.000, 0.324, 0.239)
Y (0.000, 0.000, 0.472)

## Properties
The density comes out at 7.1 g cm⁻³. The electronic total energy comes out at -92.3 eV per cell. The density of states at the Fermi level comes out at 13.70 states/eV/f.u. The spin magnetization comes out at 0.00 μB per cell. As for the offset from the most stable computed form: 234 meV/atom. The energy of formation comes out at 0.2474 eV/atom.



VASP calculation (PBE-GGA) on TbPm7Y12 after structural relaxation.

a b c (Å): 12.0501 12.0501 16.3378
angles (deg): 90.00 90.00 120.00
Space group R-3 (No. 148, hexagonal axes)
Asymmetric unit:
Tb (0.0000, 0.0000, 0.0000)
Pm (0.0000, 0.0000, 0.5000)
Pm (0.0555, 0.1882, 0.7910)
Y (0.0250, 0.4492, 0.7208)
Y (0.0528, 0.5858, 0.0832)

## Properties
The density comes out at 5.4 g cm⁻³. The electronic total energy comes out at -332.3 eV per cell. The density of states at the Fermi level comes out at 38.60 states/eV/f.u. The spin magnetization comes out at 0.00 μB per cell. As for the offset from the most stable computed form: 0 meV/atom. The energy of formation comes out at 0.2348 eV/atom.



VASP calculation (PBE-GGA) on Tb3PmY6 after structural relaxation.

a b c (Å): 9.666 21.072 6.423
angles (deg): 90.00 90.00 90.00
Space group Cmc2_1 (No. 36)
Asymmetric unit:
Tb (0.000, 0.081, 0.000)
Tb (0.169, 0.372, 0.389)
Pm (0.000, 0.338, 0.916)
Y (0.000, 0.198, 0.694)
Y (0.000, 0.485, 0.717)
Y (0.176, 0.218, 0.233)
Y (0.181, 0.060, 0.475)

## Properties
The density comes out at 5.9 g cm⁻³. The electronic total energy comes out at -225.2 eV per cell. The density of states at the Fermi level comes out at 15.18 states/eV/f.u. The spin magnetization comes out at 0.00 μB per cell. As for the offset from the most stable computed form: 0 meV/atom. The energy of formation comes out at 0.1136 eV/atom.



VASP calculation (PBE-GGA) on Tb4Pm4Y3 after structural relaxation.

a b c (Å): 10.628 5.714 12.133
angles (deg): 90.00 90.00 90.00
Space group Amm2 (No. 38)
Asymmetric unit:
Tb (0.000, 0.000, 0.000)
Tb (0.199, 0.000, 0.486)
Tb (0.500, 0.000, 0.932)
Pm (0.000, 0.000, 0.270)
Pm (0.294, 0.000, 0.137)
Pm (0.500, 0.000, 0.342)
Y (0.207, 0.000, 0.792)
Y (0.500, 0.000, 0.636)

## Properties
The density comes out at 6.7 g cm⁻³. The electronic total energy comes out at -110.7 eV per cell. The density of states at the Fermi level comes out at 18.08 states/eV/f.u. The spin magnetization comes out at 0.00 μB per cell. As for the offset from the most stable computed form: 126 meV/atom. The energy of formation comes out at 0.1414 eV/atom.